# 1
CuTePtPb2, optimized geometry, DFT PBE; Fermi-level density of states = 3.235 states/eV/cell; size of the total moment = 0.00 μB per formula unit; total DFT energy (no corrections) = -3.668 eV per atom
1.0
5.434 0.000 0.000
0.000 5.332 0.000
0.000 0.000 5.434
Cu Pb Pt Te
1 2 1 1
Direct
0.500 0.500 0.500
0.500 0.000 0.000
0.000 0.000 0.500
0.000 0.000 0.000
0.000 0.500 0.000

---

# 2
LiCeZnGe, optimized geometry, DFT PBE; Fermi-level density of states = 4.930 states/eV/cell; size of the total moment = 0.65 μB per formula unit; formation energy = -0.402 eV per atom
1.0
-1.903 -3.696 -2.521
2.842 -2.700 -2.875
1.054 -4.583 1.235
Ge Zn Li Ce
1 1 1 1
Direct
0.250 0.250 0.250
0.750 0.750 0.750
0.500 0.500 0.500
0.000 0.000 0.000

---

# 3
ScPCl, optimized geometry, DFT PBE; Fermi-level density of states = 4.687 states/eV/cell; size of the total moment = 0.60 μB per formula unit; total DFT energy (no corrections) = -4.789 eV per atom
1.0
4.557 0.000 0.000
2.279 3.947 0.000
2.279 1.316 3.721
Cl Sc P
1 1 1
Direct
0.500 0.500 0.500
0.000 0.000 0.000
0.250 0.250 0.250